[1]
Computed, not measured: a geometry-optimized CuP3 structure at the PBEsol level of DFT.

Cell: 2.5401 3.9817 5.4485 Å, 90.00 90.00 90.00°
Fractional positions:
Cu 0.0000 0.0000 0.0000
P 0.0000 0.0000 0.5000
P 0.5000 0.5000 0.2122
P 0.5000 0.5000 0.7878

Computed properties:
Distance to the lowest polymorph of the same formula, eV/atom: 0.067

---

[2]
Computed, not measured: a geometry-optimized CuP structure at the PBEsol level of DFT.

Cell: 2.9706 2.9706 2.9706 Å, 90.00 90.00 90.00°
Fractional positions:
Cu 0.0000 0.0000 0.0000
P 0.5000 0.5000 0.5000

---

[3]
Computed, not measured: a geometry-optimized CuP structure at the PBEsol level of DFT.

Cell: 6.1015 6.1015 3.5174 Å, 90.00 90.00 156.55°
Fractional positions:
Cu 0.1903 0.8097 0.7500
Cu 0.8097 0.1903 0.2500
P 0.4087 0.5913 0.7500
P 0.5913 0.4087 0.2500

---

| no. | DOS at the Fermi energy (states/eV/cell) | magnetic moment (μB/f.u.) | E_form (eV/f.u.) |
| --- | --- | --- | --- |
| 1 | 1.686 | 0.000 | 2.0 |
| 2 | 1.123 | 0.000 | 0.7 |
| 3 | 1.125 | 0.000 | 0.2 |